Computed, not measured: a geometry-optimized Li2TeAs structure at the PBE-GGA level of DFT.

Values from the calculation:
* space group: No. 25
* calculated total energy: -3.33 eV per atom
* calculated density: 4.426 Mg/m³
* energy relative to the lowest polymorph listed for this composition: 86 meV/atom
* formation energy (no corrections): -0.4205 eV per atom

a = 5.255 Å, b = 2.940 Å, c = 5.255 Å
α = 90.04°, β = 90.00°, γ = 90.00°
Atoms (fractional coordinates):
Li 0.500 0.125 0.374
As 0.500 0.625 0.875
Li 0.000 0.125 0.876
Te 0.000 0.625 0.375